A relaxed structure of YMgBe4, computed with PBEsol.

## Properties
**Fermi-level density of states**: 2.5 states/eV/f.u.
**Energy of formation from the pure elements**: 116 meV per atom
**SG**: F-43m (216)
**Raw total energy**: -0.14604 hartree per atom

Geometry as POSCAR:
```
YMgBe4
1.0
-4.4919 0.3985 -1.7961
-2.5470 -3.9900 -1.0746
-3.8214 -1.2461 2.7214
Y Be Mg
1 4 1
direct
0.0000 0.0000 0.0000
0.3710 0.3710 0.3710
0.3710 0.3710 0.8869
0.8869 0.3710 0.3710
0.3710 0.8869 0.3710
0.7500 0.7500 0.7500
```